No. 1
First-principles (PBE-GGA) data for a geometry-optimized Zn3Co4 structure, as listed in Alexandria via LeMat-Bulk.

Lattice parameters (Å, degrees): 2.6535 2.6535 24.1256 90.00 90.00 90.00
Space group I4/mmm (No. 139)
Asymmetric unit:
Zn 0.0000 0.0000 0.0000 (multiplicity 2)
Zn 0.0000 0.0000 0.2926 (multiplicity 4)
Co 0.0000 0.0000 0.1347 (multiplicity 4)
Co 0.0000 0.0000 0.4271 (multiplicity 4)

DOS(E_F)   4.75 states/eV/f.u.
ΔH_f (0 K)   -18 meV per atom
Energy above the lowest structure with this stoichiometry   0.0 kJ per mole of atoms
Theoretical density   8.45 g cm⁻³
Magnetic moment   10.83 Bohr magnetons per cell

=====

No. 2
First-principles (PBE-GGA) data for a geometry-optimized CdIrSe3 structure, as listed in Alexandria via LeMat-Bulk.

Lattice parameters (Å, degrees): 4.9596 4.9596 4.9596 90.00 90.00 90.00
Space group Pm-3m (No. 221)
Asymmetric unit:
Cd 0.0000 0.0000 0.0000 (multiplicity 1)
Ir 0.5000 0.5000 0.5000 (multiplicity 1)
Se 0.0000 0.5000 0.5000 (multiplicity 3)

DOS(E_F)   7.41 states/eV/f.u.
Energy above the lowest structure with this stoichiometry   0.0 kJ per mole of atoms
Theoretical density   7.37 g cm⁻³
Magnetic moment   0.00 Bohr magnetons per cell
ΔE_f (raw)   399 meV per atom